# CoSb2RuBr

A relaxed CoSb2RuBr crystal (PBE, Alexandria).

formation energy from raw total energies = 760 meV/atom
energy = -22.50 eV for the cell shown
Fermi-level density of states = 0.956 states/eV per atom
M_tot = 3.700 μB/cell
space-group type = No. 123

Unit cell a=4.857 b=4.981 c=4.857 alpha=90.00 beta=90.00 gamma=90.00
Each line ends with the local moment (μB).
Element x y z (fractional)
Sb 0.500 0.000 0.000  -0.01
Sb 0.000 0.000 0.500  0.01
Br 0.500 0.500 0.500  0.11
Co 0.000 0.000 0.000  0.91
Ru 0.000 0.500 0.000  2.40

=====

# Ni3BOs

A relaxed Ni3BOs crystal (PBE, Alexandria).

energy = -24.38 eV for the cell shown
Fermi-level density of states = 1.228 states/eV per atom
E above lowest polymorph = 866 kJ/mol of formula units
M_tot = 0.000 μB/cell
energy of formation from the pure elements = 10.9 eV/f.u.
space-group type = No. 221

Unit cell a=4.496 b=4.496 c=4.496 alpha=90.00 beta=90.00 gamma=90.00
Element x y z (fractional)
Ni 0.500 0.000 0.000
Ni 0.000 0.500 0.000
Ni 0.000 0.000 0.500
Os 0.000 0.000 0.000
B 0.500 0.500 0.500

=====

# Sr2CdGa4Pd3

A relaxed Sr2CdGa4Pd3 crystal (PBE, Alexandria).

energy = -38.01 eV for the cell shown
Fermi-level density of states = 0.575 states/eV per atom
M_tot = 0.000 μB/cell
energy of formation from the pure elements = -6.0 eV/f.u.
space-group type = No. 115

Unit cell a=4.387 b=4.387 c=11.045 alpha=90.00 beta=90.00 gamma=90.00
Element x y z (fractional)
Ga 0.000 0.000 0.000
Ga 0.000 0.500 0.358
Ga 0.500 0.000 0.642
Ga 0.500 0.500 0.000
Pd 0.000 0.500 0.125
Pd 0.000 0.000 0.500
Pd 0.500 0.000 0.875
Sr 0.000 0.500 0.757
Sr 0.500 0.000 0.243
Cd 0.500 0.500 0.500